# Zr4PaNbN8 (PBE-GGA, optimized geometry)
# D(E_F) = 20.0 states/eV per cell
# Formation energy without anion corrections = -1.340 eV per atom
# M_tot = 0.000 μB per formula unit
data_Zr4PaNbN8
_chemical_formula_sum 'Zr12 Pa3 Nb3 N24'
_cell_length_a 6.5626
_cell_length_b 6.5626
_cell_length_c 15.7696
_cell_angle_alpha 90.00
_cell_angle_beta 90.00
_cell_angle_gamma 120.00
_space_group_name_H-M_alt 'R 3 m'
_space_group_IT_number 160
_space_group_name_Hall 'R 3 -2"'
loop_
_atom_site_label
_atom_site_type_symbol
_atom_site_fract_x
_atom_site_fract_y
_atom_site_fract_z
Zr1 Zr 0.0000 0.0000 0.0000
Zr2 Zr 0.0011 0.5005 0.8754
Pa1 Pa 0.0000 0.0000 0.7506
Nb1 Nb 0.0000 0.0000 0.3747
N1 N 0.0000 0.0000 0.1323
N2 N 0.0000 0.0000 0.6139
N3 N 0.0328 0.5164 0.1264
N4 N 0.1777 0.3553 0.9594

=====

# AcPuTlAu (PBE-GGA, optimized geometry)
# E_form = -0.3024 eV per atom
# D(E_F) = 52.1 states/eV per cell
# M_tot = 5.825 μB per formula unit
data_AcPuTlAu
_chemical_formula_sum 'Ac4 Pu4 Tl4 Au4'
_cell_length_a 7.795
_cell_length_b 7.795
_cell_length_c 7.795
_cell_angle_alpha 90.00
_cell_angle_beta 90.00
_cell_angle_gamma 90.00
_space_group_name_H-M_alt 'F -4 3 m'
_space_group_IT_number 216
_space_group_name_Hall 'F -4 2 3'
loop_
_atom_site_label
_atom_site_type_symbol
_atom_site_fract_x
_atom_site_fract_y
_atom_site_fract_z
Ac1 Ac 0.000 0.000 0.000
Pu1 Pu 0.000 0.000 0.500
Tl1 Tl 0.250 0.250 0.750
Au1 Au 0.250 0.250 0.250

=====

# Li2Tl2Bi (PBE-GGA, optimized geometry)
# Relative energy among the computed polymorphs = 24.8 meV/atom
# E_form = -0.1868 eV per atom
# D(E_F) = 5.1 states/eV per cell
# M_tot = 0.000 μB per formula unit
data_Li2Tl2Bi
_chemical_formula_sum 'Li4 Tl4 Bi2'
_cell_length_a 7.407
_cell_length_b 7.407
_cell_length_c 4.551
_cell_angle_alpha 90.00
_cell_angle_beta 90.00
_cell_angle_gamma 90.00
_space_group_name_H-M_alt 'P 4/m b m'
_space_group_IT_number 127
_space_group_name_Hall '-P 4 2ab'
loop_
_atom_site_label
_atom_site_type_symbol
_atom_site_fract_x
_atom_site_fract_y
_atom_site_fract_z
Li1 Li 0.144 0.356 0.000
Tl1 Tl 0.163 0.663 0.500
Bi1 Bi 0.000 0.000 0.000